Record 1
The following is a DFT calculation (GGA-PBE) of a geometry-optimized In2CuW structure.

Calculated values
The value obtained for the size of the total moment is 0.00 μB per cell. The density of states at the Fermi level is 2.55 states/eV per cell. The calculation puts the energy at -5.1286 eV/atom. Its excess energy over the best structure of this formula in the dataset is 70.9 meV per atom. The space group is No. 123.

Cell: 2.9090 2.9090 8.4936 Å, 90.00 90.00 90.00°
With the nearest neighbours (Å) after each atom.
Positions (direct):
Cu: 0.5000 0.5000 0.7500  8 In 2.88, 4 Cu 2.91
In: 0.0000 0.0000 0.9879  4 Cu 2.88, 4 In 2.91, 4 W 3.03
In: 0.0000 0.0000 0.5121  4 Cu 2.88, 4 In 2.91, 4 W 3.03
W: 0.5000 0.5000 0.2500  4 W 2.91, 8 In 3.03



Record 2
The following is a DFT calculation (GGA-PBE) of a geometry-optimized YInCu2W structure.

Calculated values
The value obtained for the size of the total moment is 2.85 μB per cell. The density of states at the Fermi level is 4.91 states/eV per cell. The calculation puts the energy at -4.5448 eV/atom. The space group is No. 123.

Cell: 4.6868 5.6293 4.6868 Å, 90.00 90.00 90.00°
With the nearest neighbours (Å) after each atom.
Positions (direct):
Y: 0.0000 0.5000 0.0000  2 In 2.81
Cu: 0.0000 0.0000 0.5000  2 In 2.34
Cu: 0.5000 0.0000 0.0000  2 In 2.34
W: 0.5000 0.5000 0.5000  4 Y 3.31, 8 Cu 3.66
In: 0.0000 0.0000 0.0000  4 Cu 2.34



Record 3
The following is a DFT calculation (GGA-PBE) of a geometry-optimized Y12InCu6 structure.

Calculated values
The value obtained for the size of the total moment is 0.00 μB per cell. The density of states at the Fermi level is 10.22 states/eV per cell. The calculation puts the energy at -5.7445 eV/atom. The space group is No. 204.

Cell: 8.5773 8.5773 8.5773 Å, 109.47 109.47 109.47°
With the nearest neighbours (Å) after each atom.
Positions (direct):
Y: 0.2975 0.1092 0.8118  3 Cu 2.74-3.00
Y: 0.2975 0.4857 0.1882  3 Cu 2.74-3.00
Y: 0.7025 0.5143 0.8118  3 Cu 2.74-3.00
Y: 0.7025 0.8908 0.1882  3 Cu 2.74-3.00
Y: 0.1092 0.8118 0.2975  3 Cu 2.74-3.00
Y: 0.4857 0.1882 0.2975  3 Cu 2.74-3.00
Y: 0.5143 0.8118 0.7025  3 Cu 2.74-3.00
Y: 0.8908 0.1882 0.7025  3 Cu 2.74-3.00
Y: 0.8118 0.2975 0.1092  3 Cu 2.74-3.00
Y: 0.1882 0.2975 0.4857  3 Cu 2.74-3.00
Y: 0.8118 0.7025 0.5143  3 Cu 2.74-3.00
Y: 0.1882 0.7025 0.8908  3 Cu 2.74-3.00
In: 0.0000 0.0000 0.0000  12 Y 3.49
Cu: 0.3765 0.5000 0.8765  1 Cu 2.45, 2 Y 2.74
Cu: 0.6235 0.5000 0.1235  1 Cu 2.45, 2 Y 2.74
Cu: 0.5000 0.8765 0.3765  1 Cu 2.45, 2 Y 2.74
Cu: 0.5000 0.1235 0.6235  1 Cu 2.45, 2 Y 2.74
Cu: 0.8765 0.3765 0.5000  1 Cu 2.45, 2 Y 2.74
Cu: 0.1235 0.6235 0.5000  1 Cu 2.45, 2 Y 2.74



Record 4
The following is a DFT calculation (GGA-PBE) of a geometry-optimized Y2InCu2 structure.

Calculated values
The value obtained for the size of the total moment is 0.00 μB per cell. The density of states at the Fermi level is 4.28 states/eV per cell. The calculation puts the energy at -4.9383 eV/atom. The space group is No. 139.

Cell: 3.4903 3.4903 9.5035 Å, 79.42 79.42 90.00°
With the nearest neighbours (Å) after each atom.
Positions (direct):
Y: 0.3813 0.3813 0.2374  4 Cu 2.98, 4 In 3.29
Y: 0.6187 0.6187 0.7626  4 Cu 2.98, 4 In 3.29
Cu: 0.7500 0.2500 0.5000  4 Cu 2.47
Cu: 0.2500 0.7500 0.5000  4 Cu 2.47
In: 0.0000 0.0000 0.0000  8 Y 3.29, 4 In 3.49



Record 5
The following is a DFT calculation (GGA-PBE) of a geometry-optimized Y4InCu structure.

Calculated values
The value obtained for the size of the total moment is 0.00 μB per cell. The density of states at the Fermi level is 14.27 states/eV per cell. The calculation puts the energy at -5.6517 eV/atom. Its excess energy over the best structure of this formula in the dataset is 35.9 meV per atom. The space group is No. 15.

Cell: 6.3095 9.1889 7.6997 Å, 115.34 99.43 114.33°
With the nearest neighbours (Å) after each atom.
Positions (direct):
Y: 0.1021 0.2024 0.8193  2 Cu 3.08-3.19, 2 In 3.24-3.26
Y: 0.7684 0.7210 0.6626  2 Cu 2.80-2.83
Y: 0.2172 0.6170 0.8193  2 Cu 3.08-3.19, 2 In 3.24-3.26
Y: 0.3942 0.9416 0.6626  2 Cu 2.80-2.83
Y: 0.6058 0.0584 0.3374  2 Cu 2.80-2.83
Y: 0.7828 0.3830 0.1807  2 Cu 3.08-3.19, 2 In 3.24-3.26
Y: 0.2316 0.2790 0.3374  2 Cu 2.80-2.83
Y: 0.8979 0.7976 0.1807  2 Cu 3.08-3.19, 2 In 3.24-3.26
In: 0.3729 0.6229 0.2458  8 Y 3.22-3.33
In: 0.6271 0.3771 0.7542  8 Y 3.22-3.33
Cu: 0.2498 0.9998 0.9995  6 Y 2.80-3.08
Cu: 0.7502 0.0002 0.0005  6 Y 2.80-3.08



Record 6
The following is a DFT calculation (GGA-PBE) of a geometry-optimized Y3In4Cu2 structure.

Calculated values
The value obtained for the size of the total moment is 0.00 μB per cell. The density of states at the Fermi level is 5.21 states/eV per cell. The calculation puts the energy at -4.6864 eV/atom. The space group is No. 12.

Cell: 4.7132 5.9581 8.6484 Å, 73.05 74.19 66.70°
With the nearest neighbours (Å) after each atom.
Positions (direct):
Y: 0.3287 0.6923 0.6502  4 Cu 3.13-3.31, 7 In 3.22-3.33
Y: 0.0000 0.0000 0.0000  8 In 3.12-3.34, 4 Cu 3.24
Y: 0.6713 0.3077 0.3498  4 Cu 3.13-3.31, 7 In 3.22-3.33
In: 0.2720 0.3763 0.0797  1 Cu 2.66, 2 In 2.90
In: 0.7280 0.6237 0.9203  1 Cu 2.66, 2 In 2.90
In: 0.0401 0.2854 0.6345  2 Cu 2.66, 1 In 2.89
In: 0.9599 0.7146 0.3655  2 Cu 2.66, 1 In 2.89
Cu: 0.4015 0.9241 0.2729  3 In 2.66
Cu: 0.5985 0.0759 0.7271  3 In 2.66



Record 7
The following is a DFT calculation (GGA-PBE) of a geometry-optimized Y2InCu2 structure.

Calculated values
The value obtained for the size of the total moment is 0.00 μB per cell. The density of states at the Fermi level is 7.96 states/eV per cell. The calculation puts the energy at -5.1714 eV/atom. The space group is No. 127.

Cell: 3.7418 7.5744 7.5744 Å, 90.00 90.00 90.00°
With the nearest neighbours (Å) after each atom.
Positions (direct):
Y: 0.5000 0.1719 0.6719  6 Cu 2.91-2.92
Y: 0.5000 0.3281 0.1719  6 Cu 2.91-2.92
Y: 0.5000 0.6719 0.8281  6 Cu 2.91-2.92
Y: 0.5000 0.8281 0.3281  6 Cu 2.91-2.92
Cu: 0.0000 0.1200 0.3800  1 Cu 2.57
Cu: 0.0000 0.3800 0.8800  1 Cu 2.57
Cu: 0.0000 0.6200 0.1200  1 Cu 2.57
Cu: 0.0000 0.8800 0.6200  1 Cu 2.57
In: 0.0000 0.0000 0.0000  4 Cu 3.02, 8 Y 3.37
In: 0.0000 0.5000 0.5000  4 Cu 3.02, 8 Y 3.37



Record 8
The following is a DFT calculation (GGA-PBE) of a geometry-optimized Y11In9Cu4 structure.

Calculated values
The value obtained for the size of the total moment is 0.00 μB per cell. The density of states at the Fermi level is 15.33 states/eV per cell. The calculation puts the energy at -5.1348 eV/atom. The space group is No. 65.

Cell: 3.7138 13.1155 13.1155 Å, 112.78 90.00 90.00°
With the nearest neighbours (Å) after each atom.
Positions (direct):
Y: 0.0000 0.5854 0.9273  2 Cu 2.87, 4 In 3.18-3.21
Y: 0.0000 0.4146 0.0727  2 Cu 2.87, 4 In 3.18-3.21
Y: 0.0000 0.9273 0.5854  2 Cu 2.87, 4 In 3.18-3.21
Y: 0.0000 0.0727 0.4146  2 Cu 2.87, 4 In 3.18-3.21
Y: 0.0000 0.6280 0.3720  4 Cu 2.93
Y: 0.0000 0.3720 0.6280  4 Cu 2.93
Y: 0.0000 0.8387 0.1613  8 In 3.28-3.42, 3 Y 3.52-3.54
Y: 0.0000 0.1613 0.8387  8 In 3.28-3.42, 3 Y 3.52-3.54
Y: 0.0000 0.0000 0.0000  8 In 3.23, 2 Y 3.52
Y: 0.0000 0.6920 0.6920  4 Cu 2.93
Y: 0.0000 0.3080 0.3080  4 Cu 2.93
In: 0.5000 0.6311 0.1571  1 Cu 3.07, 1 In 3.08, 8 Y 3.21-3.39
In: 0.5000 0.3689 0.8429  1 Cu 3.07, 1 In 3.08, 8 Y 3.21-3.39
In: 0.5000 0.1571 0.6311  1 Cu 3.07, 1 In 3.08, 8 Y 3.21-3.39
In: 0.5000 0.8429 0.3689  1 Cu 3.07, 1 In 3.08, 8 Y 3.21-3.39
In: 0.5000 0.7819 0.9262  1 Cu 3.02, 1 In 3.15, 4 Y 3.18-3.23
In: 0.5000 0.2181 0.0738  1 Cu 3.02, 1 In 3.15, 4 Y 3.18-3.23
In: 0.5000 0.9262 0.7819  1 Cu 3.02, 1 In 3.15, 4 Y 3.18-3.23
In: 0.5000 0.0738 0.2181  1 Cu 3.02, 1 In 3.15, 4 Y 3.18-3.23
In: 0.5000 0.5000 0.5000  4 Cu 3.08, 8 Y 3.35-3.36
Cu: 0.5000 0.5504 0.7499  6 Y 2.87-2.93, 3 In 3.02-3.08
Cu: 0.5000 0.4496 0.2501  6 Y 2.87-2.93, 3 In 3.02-3.08
Cu: 0.5000 0.7499 0.5504  6 Y 2.87-2.93, 3 In 3.02-3.08
Cu: 0.5000 0.2501 0.4496  6 Y 2.87-2.93, 3 In 3.02-3.08



Question: energy of number 2 (YInCu2W)?
Answer: -4.5448 eV/atom